i | The following is a DFT calculation (PBE with a Hubbard U) of a relaxed VP2SeO crystal.

abc: 4.7605 4.7605 3.6192
angles: 90.00 90.00 90.00
Closest atoms and distances in Å follow each position.
Space group P4/mmm (No. 123)
Asymmetric unit:
1 V 0.0000 0.0000 0.0000 x1  2 O 1.81
2 P 0.0000 0.5000 0.0000 x2  2 V 2.38
3 Se 0.5000 0.5000 0.5000 x1  8 P 2.99
4 O 0.0000 0.0000 0.5000 x1  2 V 1.81

---

ii | The following is a DFT calculation (PBE with a Hubbard U) of a relaxed VP2SeO crystal.

abc: 4.8077 4.8077 3.7329
angles: 90.00 90.00 90.00
Closest atoms and distances in Å follow each position.
Space group P4/mmm (No. 123)
Asymmetric unit:
1 V 0.0000 0.0000 0.0000 x1  8 P 3.04, 4 O 3.40
2 P 0.0000 0.5000 0.5000 x2  2 Se 2.40
3 Se 0.5000 0.5000 0.5000 x1  2 O 1.87
4 O 0.5000 0.5000 0.0000 x1  2 Se 1.87

---

On energetic grounds, i is preferred over the next structure by 0.679 eV/atom.

---

i | The following is a DFT calculation (PBE with a Hubbard U) of a relaxed VPSeO2 crystal.

abc: 3.8006 3.8006 4.9843
angles: 90.00 90.00 90.00
Closest atoms and distances in Å follow each position.
Space group P4/mmm (No. 123)
Asymmetric unit:
1 V 0.0000 0.0000 0.0000 x1  4 P 2.69
2 P 0.5000 0.5000 0.0000 x1  2 Se 2.49, 4 V 2.69
3 Se 0.5000 0.5000 0.5000 x1  4 O 1.90
4 O 0.0000 0.5000 0.5000 x2  2 Se 1.90

---

ii | The following is a DFT calculation (PBE with a Hubbard U) of a relaxed VPSeO2 crystal.

abc: 3.6530 3.6530 5.5653
angles: 90.00 90.00 90.00
Closest atoms and distances in Å follow each position.
Space group P4/mmm (No. 123)
Asymmetric unit:
1 V 0.0000 0.0000 0.0000 x1  4 O 1.83
2 P 0.0000 0.0000 0.5000 x1  4 Se 2.58, 2 V 2.78
3 Se 0.5000 0.5000 0.5000 x1  4 P 2.58
4 O 0.0000 0.5000 0.0000 x2  2 V 1.83

---

On energetic grounds, ii is preferred over the next structure by 0.752 eV/atom.

---

i | The following is a DFT calculation (PBE with a Hubbard U) of a relaxed PWSeO2 crystal.

abc: 3.8213 3.8213 5.5115
angles: 90.00 90.00 90.00
Closest atoms and distances in Å follow each position.
Space group P4/mmm (No. 123)
Asymmetric unit:
1 P 0.0000 0.0000 0.0000 x1  4 Se 2.70, 2 W 2.76
2 W 0.0000 0.0000 0.5000 x1  4 O 1.91
3 Se 0.5000 0.5000 0.0000 x1  4 P 2.70
4 O 0.0000 0.5000 0.5000 x2  2 W 1.91

---

ii | The following is a DFT calculation (PBE with a Hubbard U) of a relaxed PWSeO2 crystal.

abc: 3.8624 3.8624 4.9686
angles: 90.00 90.00 90.00
Closest atoms and distances in Å follow each position.
Space group P4/mmm (No. 123)
Asymmetric unit:
1 P 0.0000 0.0000 0.0000 x1  2 Se 2.48, 4 W 2.73
2 W 0.5000 0.5000 0.0000 x1  4 P 2.73
3 Se 0.0000 0.0000 0.5000 x1  4 O 1.93
4 O 0.0000 0.5000 0.5000 x2  2 Se 1.93

---

On energetic grounds, i is preferred over the next structure by 1.029 eV/atom.